1.
Below is a relaxed K3Ac2HoTe6 crystal, with properties calculated at the PBE level.

Results
volume: 40.03 Å³ per atom
formation energy (no corrections): -1.451 eV/atom
density of states at the Fermi level: 0.00 states/eV/f.u.
space group: C2/m (12)

a = 8.1919 Å, b = 8.1919 Å, c = 8.7105 Å
α = 99.05°, β = 99.05°, γ = 120.02°
Last column: nearest neighbours and their distance in Å.
Positions (direct):
K: 0.1702 0.8298 0.5000  6 Te 3.54-3.68
K: 0.8298 0.1702 0.5000  6 Te 3.54-3.68
K: 0.5000 0.5000 0.5000  6 Te 3.54-3.72
Ac: 0.3339 0.6661 0.0000  6 Te 3.33-3.34
Ac: 0.6661 0.3339 0.0000  6 Te 3.33-3.34
Ho: 0.0000 0.0000 0.0000  6 Te 3.14
Te: 0.9278 0.6130 0.7830  1 Ho 3.14, 2 Ac 3.34
Te: 0.7588 0.7588 0.2173  1 Ho 3.14, 2 Ac 3.33
Te: 0.0722 0.3870 0.2170  1 Ho 3.14, 2 Ac 3.34
Te: 0.6130 0.9278 0.7830  1 Ho 3.14, 2 Ac 3.34
Te: 0.2412 0.2412 0.7827  1 Ho 3.14, 2 Ac 3.33
Te: 0.3870 0.0722 0.2170  1 Ho 3.14, 2 Ac 3.34


2.
Below is a relaxed KAc2HoTe4 crystal, with properties calculated at the PBE level.

Results
volume: 35.86 Å³ per atom
formation energy (no corrections): -1.376 eV/atom
density of states at the Fermi level: 3.17 states/eV/f.u.
space group: P2/m (10)

a = 4.6225 Å, b = 8.0293 Å, c = 8.1684 Å
α = 71.14°, β = 90.00°, γ = 90.00°
Last column: nearest neighbours and their distance in Å.
Positions (direct):
K: 0.5000 0.5000 0.0000  6 Te 3.29-3.32
Ac: 0.0000 0.0000 0.0000  6 Te 3.42-3.43
Ac: 0.5000 0.0000 0.5000  6 Te 3.29-3.31
Ho: 0.0000 0.5000 0.5000  6 Te 3.16-3.18
Te: 0.0000 0.7421 0.7382  1 Ho 3.16, 3 Ac 3.29-3.42, 2 K 3.32
Te: 0.0000 0.2579 0.2618  1 Ho 3.16, 3 Ac 3.29-3.42, 2 K 3.32
Te: 0.5000 0.7306 0.2678  2 Ho 3.18, 1 K 3.29, 3 Ac 3.31-3.43
Te: 0.5000 0.2694 0.7322  2 Ho 3.18, 1 K 3.29, 3 Ac 3.31-3.43


3.
Below is a relaxed AcLaHo crystal, with properties calculated at the PBE level.

Results
excess energy over the best structure of this formula in the dataset: 0.4 kJ per mole of atoms
volume: 37.64 Å³ per atom
density of states at the Fermi level: 5.26 states/eV/f.u.
space group: P3m1 (156)

a = 3.7748 Å, b = 3.7748 Å, c = 9.1516 Å
α = 90.00°, β = 90.00°, γ = 120.00°
Last column: nearest neighbours and their distance in Å.
Positions (direct):
Ac: 0.0000 0.0000 0.0080  3 Ho 3.72, 6 Ac 3.77, 3 La 3.90
Ho: 0.6667 0.3333 0.3374  3 La 3.63, 3 Ac 3.72, 6 Ho 3.77
La: 0.3333 0.6667 0.6546  3 Ho 3.63, 6 La 3.77, 3 Ac 3.90


4.
Below is a relaxed Ac2LaHo4 crystal, with properties calculated at the PBE level.

Results
volume: 38.72 Å³ per atom
density of states at the Fermi level: 11.52 states/eV/f.u.
calculated total energy: -0.1537 Ha/atom
space group: I4/mmm (139)

a = 10.9652 Å, b = 7.4005 Å, c = 7.4005 Å
α = 56.73°, β = 42.21°, γ = 42.21°
Last column: nearest neighbours and their distance in Å.
Positions (direct):
Ac: 0.0000 0.5000 0.5000  2 La 3.52, 8 Ho 3.70
Ac: 0.5000 0.5000 0.5000  2 La 3.52, 8 Ho 3.70
Ho: 0.4999 0.5000 0.0001  4 Ho 3.52, 4 Ac 3.70, 2 La 3.70
Ho: 0.9999 0.0001 0.5000  4 Ho 3.52, 4 Ac 3.70, 2 La 3.70
Ho: 0.5001 0.9999 0.5000  4 Ho 3.52, 4 Ac 3.70, 2 La 3.70
Ho: 0.0000 0.5000 0.9999  4 Ho 3.52, 4 Ac 3.70, 2 La 3.70
La: 0.0000 0.0000 0.0000  4 Ac 3.52, 8 Ho 3.70


5.
Below is a relaxed Ac8La3Ho2 crystal, with properties calculated at the PBE level.

Results
volume: 42.61 Å³ per atom
density of states at the Fermi level: 19.49 states/eV/f.u.
calculated total energy: -0.1528 Ha/atom
space group: C2/m (12)

a = 6.2017 Å, b = 11.4515 Å, c = 11.4515 Å
α = 42.94°, β = 89.96°, γ = 89.96°
Last column: nearest neighbours and their distance in Å.
Positions (direct):
Ac: 0.0004 0.3234 0.3234  2 Ho 3.56, 4 Ac 3.86
Ac: 0.9996 0.6766 0.6766  2 Ho 3.56, 4 Ac 3.86
Ac: 0.9999 0.8652 0.8652  4 La 3.79-4.23, 2 Ho 3.84-3.85, 5 Ac 3.97-4.02
Ac: 0.0001 0.1348 0.1348  4 La 3.79-4.23, 2 Ho 3.84-3.85, 5 Ac 3.97-4.02
Ac: 0.4999 0.3964 0.8200  1 La 3.34, 1 Ac 3.55, 2 Ho 3.67-3.73
Ac: 0.4999 0.8200 0.3964  1 La 3.34, 1 Ac 3.55, 2 Ho 3.67-3.73
Ac: 0.5001 0.1800 0.6036  1 La 3.34, 1 Ac 3.55, 2 Ho 3.67-3.73
Ac: 0.5001 0.6036 0.1800  1 La 3.34, 1 Ac 3.55, 2 Ho 3.67-3.73
La: 0.5000 0.0000 0.0000  4 Ac 3.34
La: 0.0000 0.7043 0.2957  1 La 3.43, 2 Ac 3.79
La: 0.0000 0.2957 0.7043  1 La 3.43, 2 Ac 3.79
Ho: 0.4996 0.7587 0.7587  8 Ac 3.56-3.85
Ho: 0.5004 0.2413 0.2413  8 Ac 3.56-3.85


6.
Below is a relaxed AcLa3Ho2 crystal, with properties calculated at the PBE level.

Results
excess energy over the best structure of this formula in the dataset: 0.0 kJ per mole of atoms
volume: 36.17 Å³ per atom
density of states at the Fermi level: 11.10 states/eV/f.u.
space group: C2/c (15)

a = 6.4397 Å, b = 6.4397 Å, c = 12.2943 Å
α = 110.47°, β = 110.47°, γ = 70.39°
Last column: nearest neighbours and their distance in Å.
Positions (direct):
Ac: 0.1247 0.8753 0.2500  6 Ho 3.69-3.73, 6 La 3.71-3.73
Ac: 0.8753 0.1247 0.7500  6 Ho 3.69-3.73, 6 La 3.71-3.73
La: 0.7905 0.5404 0.5814  5 La 3.68-3.73, 5 Ho 3.69-3.74, 2 Ac 3.72-3.73
La: 0.4596 0.2095 0.9186  5 La 3.68-3.73, 5 Ho 3.69-3.74, 2 Ac 3.72-3.73
La: 0.2095 0.4596 0.4186  5 La 3.68-3.73, 5 Ho 3.69-3.74, 2 Ac 3.72-3.73
La: 0.5404 0.7905 0.0814  5 La 3.68-3.73, 5 Ho 3.69-3.74, 2 Ac 3.72-3.73
La: 0.6252 0.3748 0.2500  6 La 3.68-3.73, 2 Ac 3.71-3.72, 4 Ho 3.72
La: 0.3748 0.6252 0.7500  6 La 3.68-3.73, 2 Ac 3.71-3.72, 4 Ho 3.72
Ho: 0.0410 0.2907 0.0817  3 Ac 3.69-3.73, 7 La 3.69-3.74, 2 Ho 3.70
Ho: 0.7093 0.9590 0.4183  3 Ac 3.69-3.73, 7 La 3.69-3.74, 2 Ho 3.70
Ho: 0.9590 0.7093 0.9183  3 Ac 3.69-3.73, 7 La 3.69-3.74, 2 Ho 3.70
Ho: 0.2907 0.0410 0.5817  3 Ac 3.69-3.73, 7 La 3.69-3.74, 2 Ho 3.70


7.
Below is a relaxed Ac4La5Ho2 crystal, with properties calculated at the PBE level.

Results
volume: 39.26 Å³ per atom
density of states at the Fermi level: 19.68 states/eV/f.u.
calculated total energy: -0.1612 Ha/atom
space group: C2/m (12)

a = 3.6567 Å, b = 12.7013 Å, c = 9.4953 Å
α = 93.58°, β = 101.10°, γ = 90.00°
Last column: nearest neighbours and their distance in Å.
Positions (direct):
Ac: 0.7186 0.3648 0.4372  6 Ac 3.66-4.00, 3 Ho 3.66-3.81, 3 La 3.66-3.94
Ac: 0.0407 0.2673 0.0815  2 La 3.47-3.69, 2 Ho 3.53-3.59, 2 Ac 3.66
Ac: 0.2814 0.6352 0.5628  6 Ac 3.66-4.00, 3 Ho 3.66-3.81, 3 La 3.66-3.94
Ac: 0.9593 0.7327 0.9185  2 La 3.47-3.69, 2 Ho 3.53-3.59, 2 Ac 3.66
La: 0.1903 0.0902 0.3806  7 La 3.49-3.78, 1 Ac 3.69
La: 0.8097 0.9098 0.6194  7 La 3.49-3.78, 1 Ac 3.69
La: 0.1391 0.8208 0.2782  2 Ac 3.47-3.66, 5 La 3.49-3.78, 1 Ho 3.62
La: 0.5000 0.0000 0.0000  10 La 3.66-4.09, 4 Ac 3.89
La: 0.8609 0.1792 0.7218  2 Ac 3.47-3.66, 5 La 3.49-3.78, 1 Ho 3.62
Ho: 0.9080 0.4603 0.8159  3 Ho 3.51-3.66, 5 Ac 3.53-3.81, 1 La 3.62
Ho: 0.0920 0.5397 0.1841  3 Ho 3.51-3.66, 5 Ac 3.53-3.81, 1 La 3.62


8.
Below is a relaxed Ac2La5Ho4 crystal, with properties calculated at the PBE level.

Results
volume: 36.16 Å³ per atom
density of states at the Fermi level: 20.87 states/eV/f.u.
calculated total energy: -0.1694 Ha/atom
space group: C2/m (12)

a = 12.2919 Å, b = 12.2919 Å, c = 9.0711 Å
α = 74.83°, β = 74.83°, γ = 17.51°
Last column: nearest neighbours and their distance in Å.
Positions (direct):
Ac: 0.4128 0.4128 0.7153  5 Ho 3.65-3.73, 2 Ac 3.74, 5 La 3.75-3.83
Ac: 0.5872 0.5872 0.2847  5 Ho 3.65-3.73, 2 Ac 3.74, 5 La 3.75-3.83
La: 0.8622 0.8622 0.0955  3 Ho 3.58-3.65, 7 La 3.69-3.78, 2 Ac 3.83
La: 0.1378 0.1378 0.9045  3 Ho 3.58-3.65, 7 La 3.69-3.78, 2 Ac 3.83
La: 0.7734 0.7734 0.8107  3 Ho 3.65-3.66, 7 La 3.69-3.81, 2 Ac 3.76
La: 0.5000 0.5000 0.0000  4 Ho 3.66, 6 La 3.73-3.74, 2 Ac 3.75
La: 0.2266 0.2266 0.1893  3 Ho 3.65-3.66, 7 La 3.69-3.81, 2 Ac 3.76
Ho: 0.3174 0.3174 0.4531  6 Ho 3.62-3.74, 5 La 3.65-3.66, 1 Ac 3.73
Ho: 0.9499 0.9499 0.3570  3 La 3.58-3.66, 5 Ho 3.62-4.00, 4 Ac 3.65-3.73
Ho: 0.6826 0.6826 0.5469  6 Ho 3.62-3.74, 5 La 3.65-3.66, 1 Ac 3.73
Ho: 0.0501 0.0501 0.6430  3 La 3.58-3.66, 5 Ho 3.62-4.00, 4 Ac 3.65-3.73


9.
Below is a relaxed AcLa2Ho crystal, with properties calculated at the PBE level.

Results
excess energy over the best structure of this formula in the dataset: 1.6 kJ per mole of atoms
volume: 37.46 Å³ per atom
density of states at the Fermi level: 7.60 states/eV/f.u.
space group: P4/mmm (123)

a = 3.7931 Å, b = 3.7931 Å, c = 10.4149 Å
α = 90.00°, β = 90.00°, γ = 90.00°
Last column: nearest neighbours and their distance in Å.
Positions (direct):
Ac: 0.5000 0.5000 0.5000  4 Ac 3.79, 8 La 3.85
Ho: 0.5000 0.5000 0.0000  8 La 3.63, 4 Ho 3.79
La: 0.0000 0.0000 0.7656  4 Ho 3.63, 4 La 3.79, 4 Ac 3.85
La: 0.0000 0.0000 0.2344  4 Ho 3.63, 4 La 3.79, 4 Ac 3.85


10.
Below is a relaxed Ac4LaHo2 crystal, with properties calculated at the PBE level.

Results
volume: 40.09 Å³ per atom
density of states at the Fermi level: 12.66 states/eV/f.u.
calculated total energy: -0.1561 Ha/atom
space group: Cc (9)

a = 13.2438 Å, b = 13.2438 Å, c = 7.3064 Å
α = 96.89°, β = 96.89°, γ = 150.29°
Last column: nearest neighbours and their distance in Å.
Positions (direct):
Ac: 0.7304 0.1886 0.8777  6 Ac 3.68-3.99, 3 Ho 3.68-4.06, 2 La 3.80-3.94
Ac: 0.1886 0.7304 0.3777  6 Ac 3.68-3.99, 3 Ho 3.68-4.06, 2 La 3.80-3.94
Ac: 0.1807 0.7890 0.8998  4 Ho 3.64-3.95, 5 Ac 3.68-3.99, 2 La 3.89-3.90
Ac: 0.7890 0.1807 0.3998  4 Ho 3.64-3.95, 5 Ac 3.68-3.99, 2 La 3.89-3.90
Ac: 0.0306 0.1406 0.6015  4 Ho 3.64-3.96, 5 Ac 3.67-4.00, 2 La 3.89-3.91
Ac: 0.5616 0.6013 0.1249  6 Ac 3.67-4.00, 3 Ho 3.69-4.06, 2 La 3.81-3.96
Ac: 0.6013 0.5616 0.6249  6 Ac 3.67-4.00, 3 Ho 3.69-4.06, 2 La 3.81-3.96
Ac: 0.1406 0.0306 0.1015  4 Ho 3.64-3.96, 5 Ac 3.67-4.00, 2 La 3.89-3.91
Ho: 0.6261 0.3121 0.4513  2 La 3.63-3.89, 7 Ac 3.64-4.06, 2 Ho 3.81-3.85
Ho: 0.9228 0.1071 0.0480  2 La 3.63-3.90, 6 Ac 3.64-3.96, 2 Ho 3.81-3.85
Ho: 0.1071 0.9228 0.5480  2 La 3.63-3.90, 6 Ac 3.64-3.96, 2 Ho 3.81-3.85
Ho: 0.3121 0.6261 0.9513  2 La 3.63-3.89, 7 Ac 3.64-4.06, 2 Ho 3.81-3.85
La: 0.4097 0.6608 0.4983  4 Ho 3.63-3.90, 8 Ac 3.80-3.96
La: 0.6608 0.4097 0.9983  4 Ho 3.63-3.90, 8 Ac 3.80-3.96


11.
Below is a relaxed Ac5LaHo2 crystal, with properties calculated at the PBE level.

Results
volume: 40.12 Å³ per atom
density of states at the Fermi level: 9.24 states/eV/f.u.
calculated total energy: -0.1578 Ha/atom
space group: Pbam (55)

a = 5.4498 Å, b = 7.6764 Å, c = 15.3442 Å
α = 90.00°, β = 90.00°, γ = 90.00°
Last column: nearest neighbours and their distance in Å.
Positions (direct):
Ac: 0.0000 0.0000 0.0000  4 Ho 3.83, 2 La 3.84, 6 Ac 3.85-3.86
Ac: 0.0000 0.5000 0.5000  4 Ho 3.83, 2 La 3.84, 6 Ac 3.85-3.86
Ac: 0.0000 0.5039 0.7516  1 La 3.81, 4 Ho 3.83-3.87, 7 Ac 3.84-3.88
Ac: 0.0000 0.4961 0.2484  1 La 3.81, 4 Ho 3.83-3.87, 7 Ac 3.84-3.88
Ac: 0.0000 0.9961 0.2516  1 La 3.81, 4 Ho 3.83-3.87, 7 Ac 3.84-3.88
Ac: 0.0000 0.0039 0.7484  1 La 3.81, 4 Ho 3.83-3.87, 7 Ac 3.84-3.88
Ac: 0.5000 0.2548 0.8770  4 Ho 3.80-3.88, 2 La 3.81, 6 Ac 3.84-3.88
Ac: 0.5000 0.7452 0.1230  4 Ho 3.80-3.88, 2 La 3.81, 6 Ac 3.84-3.88
Ac: 0.5000 0.2452 0.3770  4 Ho 3.80-3.88, 2 La 3.81, 6 Ac 3.84-3.88
Ac: 0.5000 0.7548 0.6230  4 Ho 3.80-3.88, 2 La 3.81, 6 Ac 3.84-3.88
La: 0.0000 0.0000 0.5000  8 Ac 3.81-3.84, 4 Ho 3.85
La: 0.0000 0.5000 0.0000  8 Ac 3.81-3.84, 4 Ho 3.85
Ho: 0.5000 0.2517 0.6244  10 Ac 3.80-3.88, 2 La 3.85
Ho: 0.5000 0.7483 0.3756  10 Ac 3.80-3.88, 2 La 3.85
Ho: 0.5000 0.2483 0.1244  10 Ac 3.80-3.88, 2 La 3.85
Ho: 0.5000 0.7517 0.8756  10 Ac 3.80-3.88, 2 La 3.85


12.
Below is a relaxed Ac3LaHo2 crystal, with properties calculated at the PBE level.

Results
volume: 38.93 Å³ per atom
density of states at the Fermi level: 9.38 states/eV/f.u.
calculated total energy: -0.1582 Ha/atom
space group: C2/c (15)

a = 7.4468 Å, b = 7.0956 Å, c = 11.9507 Å
α = 114.90°, β = 90.00°, γ = 121.65°
Last column: nearest neighbours and their distance in Å.
Positions (direct):
Ac: 0.2552 0.0000 0.7500  2 La 3.66-3.79, 6 Ho 3.87-4.06, 6 Ac 3.91-3.99
Ac: 0.7448 0.0000 0.2500  2 La 3.66-3.79, 6 Ho 3.87-4.06, 6 Ac 3.91-3.99
Ac: 0.8323 0.6551 0.9145  4 Ho 3.48-3.74, 1 Ac 3.62, 1 La 3.88
Ac: 0.1772 0.3449 0.5855  4 Ho 3.48-3.74, 1 Ac 3.62, 1 La 3.88
Ac: 0.8228 0.6551 0.4145  4 Ho 3.48-3.74, 1 Ac 3.62, 1 La 3.88
Ac: 0.1677 0.3449 0.0855  4 Ho 3.48-3.74, 1 Ac 3.62, 1 La 3.88
La: 0.2533 0.0000 0.2500  8 Ac 3.66-3.99, 6 Ho 3.86-4.07
La: 0.7467 0.0000 0.7500  8 Ac 3.66-3.99, 6 Ho 3.86-4.07
Ho: 0.3401 0.6856 0.4208  1 Ho 3.30, 2 Ac 3.48
Ho: 0.3455 0.6856 0.9208  1 Ho 3.30, 2 Ac 3.48
Ho: 0.6545 0.3144 0.0792  1 Ho 3.30, 2 Ac 3.48
Ho: 0.6599 0.3144 0.5792  1 Ho 3.30, 2 Ac 3.48


Q: What is the density of states at the Fermi level in the seventh record?
A: 19.68 states/eV/f.u.


Q: The lowest density of states at the Fermi level belongs to which entry?
A: K3Ac2HoTe6


Q: Number 8 is which compound?
A: Ac2La5Ho4